Entry 1:
Entry from Alexandria: an optimized crystal structure of Nd2Ga2Cu3 (PBE).

Lattice parameters (Å, degrees): 7.253 7.253 7.253 109.47 109.47 109.47
Element x y z (fractional)
Nd 0.000 0.000 0.534
Nd 0.500 0.534 0.500
Nd 0.466 0.966 0.966
Nd 0.034 0.500 0.000
Ga 0.000 0.000 0.939
Ga 0.500 0.939 0.500
Ga 0.061 0.561 0.561
Ga 0.439 0.500 0.000
Cu 0.791 0.750 0.041
Cu 0.709 0.250 0.459
Cu 0.959 0.209 0.250
Cu 0.541 0.291 0.750
Cu 0.250 0.041 0.291
Cu 0.750 0.459 0.209

Computed properties:
* space group: I2_13, No. 199
* calculated density: 6.99 Mg/m³
* energy of formation from the pure elements: -0.2031 eV per atom

---

Entry 2:
Entry from Alexandria: an optimized crystal structure of Nd4GaCu3 (PBE).

Lattice parameters (Å, degrees): 3.933 4.511 10.967 90.00 90.00 90.00
Element x y z (fractional)
Nd 0.500 0.500 0.361
Nd 0.000 0.500 0.849
Nd 0.000 0.000 0.147
Nd 0.500 0.000 0.640
Ga 0.500 0.500 0.071
Cu 0.000 0.500 0.566
Cu 0.000 0.000 0.436
Cu 0.500 0.000 0.931

Computed properties:
* space group: Pmm2, No. 25
* calculated density: 7.15 Mg/m³
* energy of formation from the pure elements: -0.2477 eV per atom

---

Entry 3:
Entry from Alexandria: an optimized crystal structure of Nd2Ga3Cu (PBE).

Lattice parameters (Å, degrees): 5.884 5.884 8.579 107.37 107.37 97.44
Element x y z (fractional)
Nd 0.250 0.750 0.500
Nd 0.743 0.743 0.000
Nd 0.750 0.250 0.500
Nd 0.257 0.257 0.000
Ga 0.664 0.167 0.830
Ga 0.833 0.336 0.170
Ga 0.336 0.833 0.170
Ga 0.167 0.664 0.830
Ga 0.832 0.832 0.664
Ga 0.168 0.168 0.336
Cu 0.332 0.332 0.664
Cu 0.668 0.668 0.336

Computed properties:
* space group: Fmmm, No. 69
* calculated density: 7.10 Mg/m³
* energy of formation from the pure elements: -0.5734 eV per atom

---

Entry 4:
Entry from Alexandria: an optimized crystal structure of Nd2Ga3Cu (PBE).

Lattice parameters (Å, degrees): 4.432 4.432 7.733 90.00 90.00 120.00
Element x y z (fractional)
Nd 0.333 0.667 0.733
Nd 0.333 0.667 0.263
Ga 0.667 0.333 0.486
Ga 0.667 0.333 0.037
Ga 0.000 0.000 0.962
Cu 0.000 0.000 0.519

Computed properties:
* space group: P3m1, No. 156
* calculated density: 7.09 Mg/m³
* energy of formation from the pure elements: -0.5703 eV per atom